(1)
First-principles (GGA-PBE) data for a geometry-optimized ErZn2 structure, as listed in Alexandria.

Cell and atoms, written as extended XYZ:
```
3
Lattice="3.2526 0.0000 0.0000 0.0000 3.2526 0.0000 -1.6263 -1.6263 5.5301" Properties=species:S:1:pos:R:3 pbc="T T T"
Er 0.0000 0.0000 0.0000
Zn 1.6263 1.6263 2.0285
Zn 0.0000 0.0000 3.5016
```

Results
As for the symmetry: I4/mmm (139).

=====

(2)
First-principles (GGA-PBE) data for a geometry-optimized Er6Zn23 structure, as listed in Alexandria.

Cell and atoms, written as extended XYZ:
```
29
Lattice="-3.1402 0.8190 8.3200 -8.4735 -2.1648 1.8079 -1.8134 -7.2920 4.8263" Properties=species:S:1:pos:R:3 pbc="T T T"
Zn -5.9552 -6.8408 8.0115
Zn -6.7136 -4.3189 7.4771
Er -3.8388 -6.0632 5.9219
Zn -6.6072 -2.8555 9.7282
Zn -5.1435 -4.7284 3.3171
Zn -10.5594 -4.8520 10.8710
Zn -8.4490 -6.4767 11.8274
Zn -11.1340 -7.1627 12.4003
Zn -6.8200 -5.7824 5.2260
Zn -2.4768 -3.2365 6.5732
Zn -4.1995 -4.3163 8.4257
Zn -1.5701 0.4095 4.1600
Zn -4.2367 -1.0824 0.9039
Zn -2.8677 -3.7858 4.0832
Zn -8.3629 -5.3800 9.3140
Er -8.8100 -7.3332 6.9826
Zn -10.1390 -7.4222 9.7639
Zn -5.0642 -3.2579 5.6402
Zn -0.9067 -3.6460 2.4131
Zn -2.2931 -1.4752 2.5539
Er -4.6172 -1.3046 7.9716
Er -5.6811 -5.5827 10.8031
Zn -5.8068 -0.6729 5.0640
Zn -9.2276 -4.3216 6.5285
Zn -3.2882 -1.2157 5.1903
Er -7.7461 -3.0552 4.1511
Zn -4.9781 -2.1612 3.1268
Er -9.5884 -2.5747 9.0323
Zn -7.4719 -1.7971 6.9427
```

Results
As for the symmetry: Fm-3m (225).

=====

(3)
First-principles (GGA-PBE) data for a geometry-optimized Er5Zn6 structure, as listed in Alexandria.

Cell and atoms, written as extended XYZ:
```
11
Lattice="-4.7026 -0.1844 -1.4623 1.0185 -6.5060 -2.4571 -0.0869 0.5683 8.5132" Properties=species:S:1:pos:R:3 pbc="T T T"
Er -0.8087 -5.1503 3.2490
Zn -3.9213 -0.2857 4.3417
Er 0.5092 -3.2530 -1.2285
Zn -3.3928 -3.6582 3.0682
Zn -1.5956 -4.9173 -2.5533
Er -1.2742 -1.8343 4.3288
Zn 0.1502 -5.8365 0.2521
Er -2.4969 -4.2879 0.2649
Zn -0.3782 -2.4640 1.5256
Er -2.9624 -0.9719 1.3448
Zn -2.0886 -1.7731 -1.3661
```

Results
As for the symmetry: Immm (71).

=====

(4)
First-principles (GGA-PBE) data for a geometry-optimized ErZn13 structure, as listed in Alexandria.

Cell and atoms, written as extended XYZ:
```
28
Lattice="-2.4846 4.7198 6.7102 5.6261 2.0033 6.1491 2.7607 8.0737 0.8184" Properties=species:S:1:pos:R:3 pbc="T T T"
Zn 2.2330 8.9517 4.8378
Zn 0.1228 4.3746 6.5891
Zn 5.7794 10.4222 7.0886
Zn 2.3701 8.4652 9.1748
Zn 0.6677 8.6913 7.0561
Zn 4.3928 7.6167 10.7220
Zn 4.6163 4.1106 4.9356
Er 4.4267 11.0976 10.2583
Zn -1.1762 6.9946 6.9241
Zn 0.9470 6.5976 5.3307
Zn 3.3075 9.9921 7.1185
Zn 1.2859 10.6862 8.7420
Zn 1.5094 7.1801 2.9557
Zn 2.5947 4.8047 6.5592
Zn 7.0784 7.8022 6.7536
Zn 1.1934 11.0142 5.8183
Zn 4.9552 8.1992 8.3470
Zn 4.1492 8.4809 3.0181
Zn 5.2345 6.1055 6.6216
Zn 2.9511 7.3984 6.8388
Zn 4.8628 8.5272 5.4233
Zn 1.0394 6.2696 8.2544
Er 1.4756 3.6992 3.4194
Zn 3.6692 5.8451 8.8399
Zn 0.0000 0.0000 0.0000
Zn 4.7088 3.7826 7.8594
Zn 3.5321 6.3316 4.5028
Zn 1.7530 6.3159 10.6596
```

Results
As for the symmetry: Fm-3c (226).

=====

no.,E_tot (eV per cell)
1,-7.72
2,-65.34
3,-32.64
4,-45.27